Below is crystalline Tb2SmMgTl4 at its relaxed geometry, with properties calculated at the PBE-GGA level.

Geometry as CIF:
```
data_Tb2SmMgTl4
_space_group_name_H-M_alt 'P 1'
_space_group_IT_number 1
_space_group_name_Hall 'P 1'
_cell_length_a 9.5059
_cell_length_b 9.5059
_cell_length_c 9.5059
_cell_angle_alpha 32.28
_cell_angle_beta 32.28
_cell_angle_gamma 32.28
loop_
_atom_site_label
_atom_site_fract_x
_atom_site_fract_y
_atom_site_fract_z
_atom_site_occupancy
Tb1 0.2433 0.2433 0.2433 1
Tb2 0.7567 0.7567 0.7567 1
Sm1 0.0000 0.0000 0.0000 1
Mg1 0.5000 0.5000 0.5000 1
Tl1 0.1246 0.1246 0.1246 1
Tl2 0.3765 0.3765 0.3765 1
Tl3 0.6235 0.6235 0.6235 1
Tl4 0.8754 0.8754 0.8754 1
```

Summary:
Formation enthalpy at 0 K = -302 meV per atom
Density = 9.99 Mg/m³
Calculated total energy = -27.452 eV/cell
Calculated volume = 217.8 Å³/cell